An optimized crystal structure of NdMgAl2Pt4. Source: Alexandria, functional PBE.

As for the formation enthalpy at 0 K: -1013 meV per atom.

The structure belongs to space group R-3m (No. 166, hexagonal axes); the cell edges are 4.3131, 4.3131 and 26.6062 Å and the angles 90.00°, 90.00° and 120.00°. The asymmetric unit holds Nd at (0.0000, 0.0000, 0.0000), Mg at (0.0000, 0.0000, 0.5000), Al at (0.0000, 0.0000, 0.2377), Pt at (0.0000, 0.0000, 0.1322) and Pt at (0.0000, 0.0000, 0.4025).

---

An optimized crystal structure of Cu4Pt7. Source: Alexandria, functional PBE.

As for the formation enthalpy at 0 K: -106 meV per atom. Its energy above the most stable polymorph in this dataset is 0.16 eV/f.u.

The structure belongs to space group P1 (No. 1); the cell edges are 4.741, 4.745 and 7.242 Å and the angles 96.10°, 90.16° and 99.66°. The asymmetric unit holds Cu at (0.000, 0.000, 0.000), Cu at (0.092, 0.544, 0.179), Cu at (0.549, 0.271, 0.090), Cu at (0.820, 0.910, 0.637), Pt at (0.183, 0.093, 0.352), Pt at (0.277, 0.642, 0.545), Pt at (0.361, 0.179, 0.734), Pt at (0.456, 0.728, 0.912), Pt at (0.640, 0.814, 0.264), Pt at (0.733, 0.362, 0.449) and Pt at (0.908, 0.452, 0.828).

---

An optimized crystal structure of Cs2BaTaI6. Source: Alexandria, functional PBE.

The uncorrected formation energy is -10.3 eV/f.u.

The structure belongs to space group Fm-3m (No. 225); the cell edges are 12.499, 12.499 and 12.499 Å and the angles 90.00°, 90.00° and 90.00°. The asymmetric unit holds Cs at (0.250, 0.250, 0.250), Ba at (0.000, 0.000, 0.000), Ta at (0.000, 0.000, 0.500) and I at (0.000, 0.000, 0.270).

---

An optimized crystal structure of YSbTe2Ir. Source: Alexandria, functional PBE.

Its energy above the most stable polymorph in this dataset is 5.49 eV/f.u. The uncorrected formation energy is 5.4 eV/f.u.

The structure belongs to space group P4/mmm (No. 123); the cell edges are 5.681, 5.681 and 5.812 Å and the angles 90.00°, 90.00° and 90.00°. The asymmetric unit holds Y at (0.000, 0.000, 0.000), Sb at (0.000, 0.000, 0.500), Te at (0.000, 0.500, 0.000) and Ir at (0.500, 0.500, 0.500).

---

An optimized crystal structure of La2Pr7YTl2. Source: Alexandria, functional PBE.

As for the formation enthalpy at 0 K: -34 meV per atom.

The structure belongs to space group I4/mmm (No. 139); the cell edges are 4.873, 4.873 and 35.442 Å and the angles 90.00°, 90.00° and 90.00°. The asymmetric unit holds La at (0.000, 0.000, 0.168), Pr at (0.000, 0.000, 0.000), Pr at (0.000, 0.000, 0.270), Pr at (0.000, 0.500, 0.078), Y at (0.000, 0.000, 0.500) and Tl at (0.000, 0.000, 0.358).

---

An optimized crystal structure of BiBrF3. Source: Alexandria, functional PBE.

Its energy above the most stable polymorph in this dataset is 0.10 eV/f.u. The uncorrected formation energy is -8.1 eV/f.u.

The structure belongs to space group Pmn2_1 (No. 31); the cell edges are 7.028, 5.323 and 5.113 Å and the angles 90.00°, 90.00° and 90.00°. The asymmetric unit holds Bi at (0.000, 0.061, 0.000), Br at (0.000, 0.590, 0.292), F at (0.000, 0.340, 0.698) and F at (0.219, 0.885, 0.751).

---

An optimized crystal structure of BaNaAcI6. Source: Alexandria, functional PBE.

The uncorrected formation energy is -13.8 eV/f.u.

The structure belongs to space group P4_2nm (No. 102); the cell edges are 7.882, 7.882 and 15.064 Å and the angles 90.00°, 90.00° and 90.00°. The asymmetric unit holds Ba at (0.000, 0.000, 0.000), Na at (0.000, 0.000, 0.668), Ac at (0.000, 0.000, 0.335), I at (0.189, 0.189, 0.502), I at (0.201, 0.201, 0.177) and I at (0.205, 0.205, 0.826).

---

An optimized crystal structure of IrPd8Pt2. Source: Alexandria, functional PBE.

As for the formation enthalpy at 0 K: 39 meV per atom. Its energy above the most stable polymorph in this dataset is 0.00 eV/f.u.

The structure belongs to space group C2/m (No. 12); the cell edges are 14.255, 3.928 and 6.215 Å and the angles 90.00°, 104.74° and 90.00°. The asymmetric unit holds Ir at (0.000, 0.000, 0.000), Pd at (0.045, 0.500, 0.732), Pd at (0.090, 0.000, 0.450), Pd at (0.135, 0.500, 0.179), Pd at (0.180, 0.000, 0.906) and Pt at (0.228, 0.500, 0.635).